1.
VASP calculation (PBE-GGA) on an optimized crystal structure of YMnTl4.

Calculated values
- Symmetry: No. 216
- Crystal system: cubic
- Calculated formation energy: 0.39 eV per atom
- DOS(E_F): 4.56 states/eV/cell
- E_tot: -3.7978 eV/atom

abc: 6.201 6.201 6.201
angles: 60.00 60.00 60.00
Last column: magnetic moment on the atom in μB.
Fractional coordinates of all 6 atoms:
Y  0.750  0.750  0.750  -0.20
Mn  0.000  0.000  0.000  4.19
Tl  0.876  0.375  0.375  -0.03
Tl  0.375  0.375  0.876  -0.03
Tl  0.375  0.876  0.375  -0.03
Tl  0.375  0.375  0.375  -0.03



2.
VASP calculation (PBE-GGA) on an optimized crystal structure of K3Tm3VTe8.

Calculated values
- Symmetry: No. 12
- Raw formation energy: -105.0 kJ/mol of atoms
- Crystal system: monoclinic
- DOS(E_F): 8.08 states/eV/cell
- E_tot: -4.4859 eV/atom

abc: 8.546 8.561 9.873
angles: 115.76 90.00 119.97
Last column: magnetic moment on the atom in μB.
Fractional coordinates of all 15 atoms:
K  0.000  0.000  0.000  0.00
K  0.000  0.500  0.000  0.00
K  0.500  0.500  0.000  0.00
Tm  0.500  0.000  0.500  0.00
Tm  0.500  0.500  0.500  0.00
Tm  0.000  0.500  0.500  0.01
V  0.000  0.000  0.500  1.68
Te  0.264  0.528  0.292  -0.02
Te  0.736  0.472  0.708  -0.02
Te  0.780  0.559  0.306  -0.05
Te  0.220  0.441  0.694  -0.05
Te  0.780  0.026  0.306  -0.05
Te  0.220  0.974  0.694  -0.05
Te  0.247  0.026  0.306  -0.05
Te  0.753  0.974  0.694  -0.05



3.
VASP calculation (PBE-GGA) on an optimized crystal structure of Ho2Cu2SnRh5.

Calculated values
- Symmetry: No. 127
- Crystal system: tetragonal
- Calculated formation energy: -0.55 eV per atom
- DOS(E_F): 20.68 states/eV/cell
- E_tot: -6.3604 eV/atom

abc: 3.834 9.355 9.355
angles: 90.00 90.00 90.00
Fractional coordinates of all 20 atoms:
Ho  0.000  0.674  0.174
Ho  0.000  0.326  0.826
Ho  0.000  0.174  0.326
Ho  0.000  0.826  0.674
Cu  0.000  0.122  0.622
Cu  0.000  0.878  0.378
Cu  0.000  0.622  0.878
Cu  0.000  0.378  0.122
Sn  0.000  0.000  0.000
Sn  0.000  0.500  0.500
Rh  0.500  0.208  0.071
Rh  0.500  0.792  0.929
Rh  0.500  0.071  0.792
Rh  0.500  0.708  0.429
Rh  0.500  0.929  0.208
Rh  0.500  0.292  0.571
Rh  0.500  0.571  0.708
Rh  0.500  0.429  0.292
Rh  0.500  0.500  0.000
Rh  0.500  0.000  0.500



4.
VASP calculation (PBE-GGA) on an optimized crystal structure of SrIrOs.

Calculated values
- Offset from the most stable computed form: 0.000 eV/atom
- Symmetry: No. 12
- Crystal system: monoclinic
- Calculated formation energy: 0.07 eV per atom
- DOS(E_F): 4.25 states/eV/cell
- E_tot: -7.1827 eV/atom

abc: 4.161 6.110 6.536
angles: 82.71 71.48 109.94
Fractional coordinates of all 6 atoms:
Sr  0.209  0.624  0.707
Sr  0.791  0.376  0.293
Ir  0.055  0.935  0.327
Ir  0.945  0.065  0.673
Os  0.648  0.903  0.106
Os  0.352  0.097  0.894



| no. | size of the total moment (μB per atom) |
| --- | --- |
| 1 | 0.64 |
| 2 | 0.09 |
| 3 | 0.00 |
| 4 | 0.00 |